[1]
NiOs | PBE-GGA | optimized geometry

POSCAR file:
```
NiOs
1.0
-1.750 -2.197 -2.014
1.228 -3.182 -0.562
-1.585 -2.736 1.396
Os Ni
1 1
Direct
0.500 0.500 0.500
0.000 0.000 0.000
```

## Properties
SG: Fm-3m
Total magnetization, μB per formula unit: 2.0
Density, Mg/m³: 14.15
Final energy, eV per cell: -14.39

---

[2]
GdMg2Zr | PBE-GGA | optimized geometry

POSCAR file:
```
GdMg2Zr
1.0
3.220 0.000 0.000
1.610 2.788 0.000
1.610 0.929 11.147
Zr Mg Gd
1 2 1
Direct
0.000 0.000 0.000
0.254 0.254 0.239
0.746 0.746 0.761
0.500 0.500 0.500
```

## Properties
SG: R-3m
Total magnetization, μB per formula unit: 7.7
Energy above the most stable polymorph in this dataset, meV per atom: 76.9
Density, Mg/m³: 4.93
Final energy, eV per cell: -25.44